[1]
Li4InAs: relaxed, GGA-PBE.

a = 7.539 Å, b = 7.539 Å, c = 7.539 Å
α = 90.00°, β = 90.00°, γ = 90.00°
Space group F-43m (No. 216)
Symmetry-distinct sites (fractional):
Li 0.125 0.125 0.125 (multiplicity 16)
In 0.000 0.000 0.500 (multiplicity 4)
As 0.250 0.250 0.750 (multiplicity 4)

Results
- ΔH_f (0 K): -0.125 eV/atom

---

[2]
SrErBi: relaxed, GGA-PBE.

a = 3.647 Å, b = 20.308 Å, c = 5.886 Å
α = 90.00°, β = 90.00°, γ = 90.00°
Space group Cmcm (No. 63)
Symmetry-distinct sites (fractional):
Sr 0.000 0.086 0.250 (multiplicity 4)
Er 0.000 0.281 0.250 (multiplicity 4)
Bi 0.000 0.432 0.250 (multiplicity 4)

Results
- ΔH_f (0 K): -0.325 eV/atom

---

[3]
KCaTcGe2: relaxed, GGA-PBE.

a = 5.560 Å, b = 5.560 Å, c = 5.191 Å
α = 90.00°, β = 90.00°, γ = 90.00°
Space group P4/mmm (No. 123)
Symmetry-distinct sites (fractional):
K 0.000 0.000 0.000 (multiplicity 1)
Ca 0.500 0.500 0.500 (multiplicity 1)
Tc 0.500 0.500 0.000 (multiplicity 1)
Ge 0.000 0.500 0.500 (multiplicity 2)

Results
- ΔH_f (0 K): 1.182 eV/atom

---

[4]
RbAlMoC2: relaxed, GGA-PBE.

a = 4.547 Å, b = 4.547 Å, c = 5.671 Å
α = 90.00°, β = 90.00°, γ = 90.00°
Space group P4/mmm (No. 123)
Symmetry-distinct sites (fractional):
Rb 0.000 0.000 0.000 (multiplicity 1)
Al 0.500 0.500 0.500 (multiplicity 1)
Mo 0.000 0.000 0.500 (multiplicity 1)
C 0.000 0.500 0.000 (multiplicity 2)

Results
- ΔH_f (0 K): 3.917 eV/atom

---

[5]
Zr3C: relaxed, GGA-PBE.

a = 3.662 Å, b = 3.748 Å, c = 5.444 Å
α = 90.00°, β = 90.00°, γ = 90.00°
Space group Pmm2 (No. 25)
Symmetry-distinct sites (fractional):
Zr 0.000 0.000 0.000 (multiplicity 1)
Zr 0.000 0.500 0.404 (multiplicity 1)
Zr 0.500 0.500 0.852 (multiplicity 1)
C 0.500 0.000 0.280 (multiplicity 1)

Results
- ΔH_f (0 K): 0.544 eV/atom

---

[6]
K2SiTe: relaxed, GGA-PBE.

a = 3.7265 Å, b = 3.7265 Å, c = 32.9163 Å
α = 90.00°, β = 90.00°, γ = 120.00°
Space group R-3m (No. 166, hexagonal axes)
Symmetry-distinct sites (fractional):
K 0.0000 0.0000 0.2503 (multiplicity 6)
Si 0.0000 0.0000 0.0000 (multiplicity 3)
Te 0.0000 0.0000 0.5000 (multiplicity 3)

Results
- E_form (uncorrected): 0.161 eV/atom

---

[7]
CuMoPd: relaxed, GGA-PBE.

a = 2.741 Å, b = 2.741 Å, c = 11.448 Å
α = 90.00°, β = 90.00°, γ = 90.00°
Space group I4mm (No. 107)
Symmetry-distinct sites (fractional):
Cu 0.000 0.000 0.000 (multiplicity 2)
Mo 0.000 0.000 0.664 (multiplicity 2)
Pd 0.000 0.000 0.338 (multiplicity 2)

Results
- ΔH_f (0 K): 0.037 eV/atom

---

[8]
ZrTe2Br: relaxed, GGA-PBE.

a = 5.716 Å, b = 9.433 Å, c = 3.971 Å
α = 90.00°, β = 90.25°, γ = 90.00°
Space group C2/m (No. 12)
Symmetry-distinct sites (fractional):
Zr 0.000 0.000 0.000 (multiplicity 2)
Te 0.250 0.250 0.500 (multiplicity 4)
Br 0.000 0.500 0.000 (multiplicity 2)

Results
- E_form (uncorrected): -0.178 eV/atom

---

[9]
Ca2In5Ag4: relaxed, GGA-PBE.

a = 5.969 Å, b = 9.065 Å, c = 9.635 Å
α = 90.00°, β = 90.00°, γ = 90.00°
Space group Immm (No. 71)
Symmetry-distinct sites (fractional):
Ca 0.000 0.000 0.212 (multiplicity 4)
In 0.000 0.500 0.500 (multiplicity 2)
In 0.250 0.178 0.500 (multiplicity 8)
Ag 0.000 0.334 0.256 (multiplicity 8)

Results
- ΔH_f (0 K): -0.223 eV/atom

---

[10]
Sc2TaBr: relaxed, GGA-PBE.

a = 4.101 Å, b = 4.937 Å, c = 8.557 Å
α = 90.00°, β = 90.00°, γ = 90.00°
Space group Cmmm (No. 65)
Symmetry-distinct sites (fractional):
Sc 0.000 0.000 0.238 (multiplicity 4)
Ta 0.000 0.500 0.000 (multiplicity 2)
Br 0.000 0.500 0.500 (multiplicity 2)

Results
- E_form (uncorrected): -0.271 eV/atom

---

[11]
KAcGa: relaxed, GGA-PBE.

a = 4.014 Å, b = 4.014 Å, c = 15.539 Å
α = 90.00°, β = 90.00°, γ = 90.00°
Space group I4mm (No. 107)
Symmetry-distinct sites (fractional):
K 0.000 0.000 0.000 (multiplicity 2)
Ac 0.000 0.000 0.256 (multiplicity 2)
Ga 0.000 0.000 0.657 (multiplicity 2)

Results
- ΔH_f (0 K): -0.029 eV/atom

---

[12]
ZrV2Cu: relaxed, GGA-PBE.

a = 3.842 Å, b = 3.842 Å, c = 18.777 Å
α = 90.00°, β = 90.00°, γ = 90.00°
Space group I-42d (No. 122)
Symmetry-distinct sites (fractional):
Zr 0.000 0.000 0.000 (multiplicity 4)
V 0.118 0.250 0.625 (multiplicity 8)
Cu 0.000 0.000 0.500 (multiplicity 4)

Results
- ΔH_f (0 K): 0.670 eV/atom

---

[13]
CaY3I: relaxed, GGA-PBE.

a = 5.834 Å, b = 5.834 Å, c = 5.834 Å
α = 90.00°, β = 90.00°, γ = 90.00°
Space group Pm-3m (No. 221)
Symmetry-distinct sites (fractional):
Ca 0.000 0.000 0.000 (multiplicity 1)
Y 0.000 0.000 0.500 (multiplicity 3)
I 0.500 0.500 0.500 (multiplicity 1)

Results
- E_form (uncorrected): 0.850 eV/atom

---

[14]
Be2SbP: relaxed, GGA-PBE.

a = 3.458 Å, b = 3.464 Å, c = 6.039 Å
α = 90.00°, β = 97.01°, γ = 90.00°
Space group Pm (No. 6)
Symmetry-distinct sites (fractional):
Be 0.000 0.000 0.000 (multiplicity 1)
Be 0.494 0.500 0.000 (multiplicity 1)
Sb 0.422 0.000 0.662 (multiplicity 1)
P 0.037 0.500 0.198 (multiplicity 1)

Results
- E_form (uncorrected): 0.045 eV/atom

---

[15]
Pm5Pr2Dy: relaxed, GGA-PBE.

a = 7.305 Å, b = 14.625 Å, c = 5.155 Å
α = 90.00°, β = 90.00°, γ = 90.00°
Space group Pbam (No. 55)
Symmetry-distinct sites (fractional):
Pm 0.000 0.000 0.000 (multiplicity 2)
Pm 0.001 0.251 0.000 (multiplicity 4)
Pm 0.250 0.376 0.500 (multiplicity 4)
Pr 0.249 0.624 0.500 (multiplicity 4)
Dy 0.000 0.500 0.000 (multiplicity 2)

Results
- ΔH_f (0 K): 0.014 eV/atom

---

[16]
AlRe2W: relaxed, GGA-PBE.

a = 7.193 Å, b = 7.193 Å, c = 5.291 Å
α = 90.00°, β = 90.00°, γ = 90.00°
Space group I-42d (No. 122)
Symmetry-distinct sites (fractional):
Al 0.000 0.000 0.000 (multiplicity 4)
Re 0.230 0.250 0.625 (multiplicity 8)
W 0.000 0.000 0.500 (multiplicity 4)

Results
- ΔH_f (0 K): 0.871 eV/atom

---

[17]
EuAlZnCd: relaxed, GGA-PBE.

a = 7.044 Å, b = 7.044 Å, c = 7.044 Å
α = 90.00°, β = 90.00°, γ = 90.00°
Space group F-43m (No. 216)
Symmetry-distinct sites (fractional):
Eu 0.000 0.000 0.000 (multiplicity 4)
Al 0.000 0.000 0.500 (multiplicity 4)
Zn 0.250 0.250 0.250 (multiplicity 4)
Cd 0.250 0.250 0.750 (multiplicity 4)

Results
- ΔH_f (0 K): -0.198 eV/atom

---

[18]
CaPu2CuN4: relaxed, GGA-PBE.

a = 3.482 Å, b = 11.252 Å, c = 11.477 Å
α = 90.00°, β = 90.00°, γ = 90.00°
Space group Cmcm (No. 63)
Symmetry-distinct sites (fractional):
Ca 0.000 0.092 0.250 (multiplicity 4)
Pu 0.000 0.370 0.058 (multiplicity 8)
Cu 0.000 0.179 0.750 (multiplicity 4)
N 0.000 0.000 0.000 (multiplicity 4)
N 0.000 0.259 0.600 (multiplicity 8)
N 0.000 0.433 0.250 (multiplicity 4)

Results
- E_form (uncorrected): -0.886 eV/atom

---

[19]
PmMgGeBi: relaxed, GGA-PBE.

a = 7.469 Å, b = 7.469 Å, c = 7.469 Å
α = 90.00°, β = 90.00°, γ = 90.00°
Space group F-43m (No. 216)
Symmetry-distinct sites (fractional):
Pm 0.000 0.000 0.000 (multiplicity 4)
Mg 0.000 0.000 0.500 (multiplicity 4)
Ge 0.250 0.250 0.250 (multiplicity 4)
Bi 0.250 0.250 0.750 (multiplicity 4)

Results
- ΔH_f (0 K): -0.275 eV/atom

---

[20]
CuTcW2: relaxed, GGA-PBE.

a = 6.205 Å, b = 6.205 Å, c = 6.205 Å
α = 90.00°, β = 90.00°, γ = 90.00°
Space group Fm-3m (No. 225)
Symmetry-distinct sites (fractional):
Cu 0.000 0.000 0.000 (multiplicity 4)
Tc 0.000 0.000 0.500 (multiplicity 4)
W 0.250 0.250 0.250 (multiplicity 8)

Results
- ΔH_f (0 K): 0.414 eV/atom

---

[21]
Cr2CoBr: relaxed, GGA-PBE.

a = 3.094 Å, b = 3.045 Å, c = 6.677 Å
α = 90.00°, β = 95.46°, γ = 90.00°
Space group Pm (No. 6)
Symmetry-distinct sites (fractional):
Cr 0.000 0.000 0.000 (multiplicity 1)
Cr 0.475 0.500 0.790 (multiplicity 1)
Co 0.945 0.000 0.619 (multiplicity 1)
Br 0.870 0.500 0.314 (multiplicity 1)

Results
- E_form (uncorrected): 0.451 eV/atom

---

[22]
RbZn4Ge4: relaxed, GGA-PBE.

a = 6.509 Å, b = 6.509 Å, c = 9.126 Å
α = 90.00°, β = 90.00°, γ = 90.00°
Space group P4_2/nmc (No. 137, origin choice 2)
Symmetry-distinct sites (fractional):
Rb 0.250 0.750 0.250 (multiplicity 2)
Zn 0.049 0.250 0.091 (multiplicity 8)
Ge 0.018 0.250 0.379 (multiplicity 8)

Results
- ΔH_f (0 K): 0.079 eV/atom

---

[23]
Ir3OsRh: relaxed, GGA-PBE.

a = 4.684 Å, b = 4.684 Å, c = 4.684 Å
α = 90.00°, β = 90.00°, γ = 90.00°
Space group Pm-3m (No. 221)
Symmetry-distinct sites (fractional):
Ir 0.000 0.000 0.500 (multiplicity 3)
Os 0.000 0.000 0.000 (multiplicity 1)
Rh 0.500 0.500 0.500 (multiplicity 1)

Results
- ΔH_f (0 K): 2.018 eV/atom

---

[24]
CaCd2Rh: relaxed, GGA-PBE.

a = 3.3434 Å, b = 3.3434 Å, c = 28.0609 Å
α = 90.00°, β = 90.00°, γ = 120.00°
Space group R3m (No. 160, hexagonal axes)
Symmetry-distinct sites (fractional):
Ca 0.0000 0.0000 0.0000 (multiplicity 3)
Cd 0.0000 0.0000 0.5228 (multiplicity 3)
Cd 0.0000 0.0000 0.7653 (multiplicity 3)
Rh 0.0000 0.0000 0.2609 (multiplicity 3)

Results
- ΔH_f (0 K): 0.013 eV/atom

---

[25]
Sc2PtPb: relaxed, GGA-PBE.

a = 4.440 Å, b = 3.517 Å, c = 11.114 Å
α = 90.00°, β = 90.00°, γ = 90.00°
Space group Amm2 (No. 38)
Symmetry-distinct sites (fractional):
Sc 0.000 0.000 0.000 (multiplicity 2)
Sc 0.500 0.000 0.310 (multiplicity 2)
Pt 0.000 0.000 0.763 (multiplicity 2)
Pb 0.500 0.000 0.584 (multiplicity 2)

Results
- ΔH_f (0 K): -0.729 eV/atom

---

Final energy, respectively: -63.164 -44.403 -16.790 -14.403 -32.694 -30.350 -40.018 -34.429 -63.101 -54.543 -16.642 -112.804 -18.691 -16.803 -75.602 -152.434 -67.998 -300.590 -63.776 -154.849 -26.222 -47.651 -35.075 -33.391 -50.654 eV/cell.
M_tot, respectively: 1.4 0.0 2.8 1.9 0.0 1.9 0.0 0.0 0.0 0.0 0.0 0.0 0.0 0.0 0.0 0.0 27.6 28.0 0.0 0.0 1.6 0.0 0.0 0.0 0.0 Bohr magnetons per cell.